Record 1
First-principles (PBE) data for a relaxed YCr2GaRu crystal, as listed in Alexandria.

The structure in extended XYZ format:
```
5
Lattice="4.808 0.000 0.000 0.000 5.118 0.000 0.000 0.000 4.808" Properties=species:S:1:pos:R:3 pbc="T T T"
Y 0.000 0.000 0.000
Ru 2.404 2.559 2.404
Ga 0.000 2.559 0.000
Cr 0.000 0.000 2.404
Cr 2.404 0.000 0.000
```

Summary:
E_tot = -5.4380 eV per atom
E_form = 2.16 eV per atom
Volume = 23.66 A^3/atom
Spin magnetization = 8.70 μB per formula unit
Calculated density = 5.1 g/cm3

---

Record 2
First-principles (PBE) data for a relaxed KNpTe4Au2 crystal, as listed in Alexandria.

The structure in extended XYZ format:
```
8
Lattice="5.113 0.000 0.000 2.556 8.039 -1.835 2.556 -1.170 8.162" Properties=species:S:1:pos:R:3 pbc="T T T"
K 0.000 0.000 0.000
Np 5.113 3.435 3.164
Te 4.187 0.635 3.425
Te 4.187 6.234 2.903
Te 6.038 3.465 0.352
Te 6.038 3.404 5.975
Au 2.556 2.145 1.976
Au 7.669 4.724 4.352
```

Summary:
E_tot = -4.4610 eV per atom
Volume = 40.56 A^3/atom
Spin magnetization = 1.97 μB per formula unit
Calculated density = 6.0 g/cm3